Density functional theory data (PBE-GGA) for a relaxed structure of Li2PmCd.

a b c (Å): 3.3549 3.3549 10.2547
angles (deg): 80.59 80.59 60.00
Element x y z (fractional)
Li (0.0730, 0.0730, 0.7809)
Li (0.2605, 0.2605, 0.2186)
Pm (0.4998, 0.4998, 0.5007)
Cd (0.6667, 0.6667, 0.9999)

Crystal system: trigonal
Offset from the most stable computed form in eV per formula unit: 0.481
Formation energy in meV per atom: 16
Total magnetization in μB/f.u.: 0.0
Uncorrected energy in eV per atom: -2.36